A plane-wave DFT calculation with PBE-GGA was carried out for a geometry-optimized K2RbBaLi structure.

Fermi-level density of states (states/eV per atom): 1.1372
Formation enthalpy at 0 K (eV per formula unit): 0.91
Magnetic moment (μB/cell): 0.00

Cell: 6.9888 6.9888 7.0772 Å, 90.00 90.00 90.00°
Sites, in units of the cell vectors:
K (0.0000, 0.5000, 0.0000)
K (0.5000, 0.0000, 0.0000)
Ba (0.0000, 0.0000, 0.5000)
Rb (0.5000, 0.5000, 0.5000)
Li (0.0000, 0.0000, 0.0000)

A plane-wave DFT calculation with PBE-GGA was carried out for a geometry-optimized SrAlPt structure.

Fermi-level density of states (states/eV per atom): 0.5154
Formation enthalpy at 0 K (eV per formula unit): -1.95
Magnetic moment (μB/cell): 0.00

Cell: 6.2058 6.2059 3.4346 Å, 73.93 73.94 32.13°
Sites, in units of the cell vectors:
Sr (0.6721, 0.6721, 0.3279)
Al (0.9550, 0.9550, 0.0450)
Pt (0.3729, 0.3729, 0.6271)

A plane-wave DFT calculation with PBE-GGA was carried out for a geometry-optimized PaReGe2 structure.

Fermi-level density of states (states/eV per atom): 1.0000
Formation enthalpy at 0 K (eV per formula unit): 0.95
Magnetic moment (μB/cell): 0.00

Cell: 3.0111 3.0111 10.0757 Å, 81.41 81.41 60.00°
Sites, in units of the cell vectors:
Re (0.5000, 0.5000, 0.5000)
Ge (0.1004, 0.1004, 0.6989)
Ge (0.8996, 0.8996, 0.3011)
Pa (0.0000, 0.0000, 0.0000)

A plane-wave DFT calculation with PBE-GGA was carried out for a geometry-optimized HoSnRuRh structure.

Fermi-level density of states (states/eV per atom): 0.2393
Formation enthalpy at 0 K (eV per formula unit): -2.57
Magnetic moment (μB/cell): 0.00

Cell: 4.6667 4.6667 4.6667 Å, 60.00 60.00 60.00°
Sites, in units of the cell vectors:
Ru (0.7500, 0.7500, 0.7500)
Rh (0.2500, 0.2500, 0.2500)
Ho (0.0000, 0.0000, 0.0000)
Sn (0.5000, 0.5000, 0.5000)

A plane-wave DFT calculation with PBE-GGA was carried out for a geometry-optimized HoPaTcNi structure.

Fermi-level density of states (states/eV per atom): 1.0597
Formation enthalpy at 0 K (eV per formula unit): -0.78
Magnetic moment (μB/cell): 0.00

Cell: 4.8053 4.8053 4.8053 Å, 60.00 60.00 60.00°
Sites, in units of the cell vectors:
Ni (0.2500, 0.2500, 0.2500)
Pa (0.0000, 0.0000, 0.0000)
Ho (0.5000, 0.5000, 0.5000)
Tc (0.7500, 0.7500, 0.7500)

A plane-wave DFT calculation with PBE-GGA was carried out for a geometry-optimized GdBiSbPb structure.

Fermi-level density of states (states/eV per atom): 0.5688
E_tot (eV per atom): -6.77
Magnetic moment (μB/cell): 6.97

Cell: 5.5568 5.5568 5.5568 Å, 60.00 60.00 60.00°
Each line ends with the local moment (μB).
Sites, in units of the cell vectors:
Pb (0.2500, 0.2500, 0.2500)  -0.01
Sb (0.0000, 0.0000, 0.0000)  -0.03
Gd (0.7500, 0.7500, 0.7500)  6.96
Bi (0.5000, 0.5000, 0.5000)  -0.03

A plane-wave DFT calculation with PBE-GGA was carried out for a geometry-optimized LaDy2MgAu4 structure.

Fermi-level density of states (states/eV per atom): 0.6547
Formation enthalpy at 0 K (eV per formula unit): -6.23
Magnetic moment (μB/cell): 0.00

Cell: 5.0246 5.0246 9.0475 Å, 73.88 73.88 60.00°
Sites, in units of the cell vectors:
La (0.0000, 0.0000, 0.0000)
Dy (0.7608, 0.7608, 0.7176)
Dy (0.2392, 0.2392, 0.2824)
Mg (0.5000, 0.5000, 0.5000)
Au (0.3905, 0.3905, 0.8285)
Au (0.8776, 0.8776, 0.3672)
Au (0.1224, 0.1224, 0.6328)
Au (0.6095, 0.6095, 0.1715)

A plane-wave DFT calculation with PBE-GGA was carried out for a geometry-optimized Y4NiAu structure.

Fermi-level density of states (states/eV per atom): 1.4247
Relative energy among the computed polymorphs (meV per atom): 938
Formation enthalpy at 0 K (eV per formula unit): 3.63
Magnetic moment (μB/cell): 0.00

Cell: 6.0677 6.0677 6.0677 Å, 60.00 60.00 60.00°
Sites, in units of the cell vectors:
Y (0.8757, 0.3748, 0.3748)
Y (0.3748, 0.8757, 0.3748)
Y (0.3748, 0.3748, 0.3748)
Y (0.3748, 0.3748, 0.8757)
Ni (0.0000, 0.0000, 0.0000)
Au (0.7500, 0.7500, 0.7500)

A plane-wave DFT calculation with PBE-GGA was carried out for a geometry-optimized Sr7Hg2Pd2 structure.

Fermi-level density of states (states/eV per atom): 0.6769
Relative energy among the computed polymorphs (meV per atom): 74
Formation enthalpy at 0 K (eV per formula unit): -4.08
Magnetic moment (μB/cell): 0.00

Cell: 7.5246 7.7230 7.5246 Å, 90.00 107.44 90.00°
Sites, in units of the cell vectors:
Sr (0.9998, 0.2577, 0.5003)
Sr (0.5003, 0.7423, 0.9998)
Sr (0.0002, 0.7423, 0.4997)
Sr (0.4997, 0.2577, 0.0002)
Sr (0.0000, 0.0000, 0.0000)
Sr (0.5002, 0.7560, 0.4998)
Sr (0.4998, 0.2440, 0.5002)
Hg (0.8211, 0.5000, 0.8211)
Hg (0.1789, 0.5000, 0.1789)
Pd (0.7122, 0.0000, 0.2878)
Pd (0.2878, 0.0000, 0.7122)

A plane-wave DFT calculation with PBE-GGA was carried out for a geometry-optimized Ca4SnPd2 structure.

Fermi-level density of states (states/eV per atom): 0.4862
Formation enthalpy at 0 K (eV per formula unit): -3.79
Magnetic moment (μB/cell): 0.00

Cell: 5.0700 5.0700 9.7123 Å, 74.87 74.87 60.00°
Sites, in units of the cell vectors:
Ca (0.3812, 0.3812, 0.8565)
Ca (0.2054, 0.2054, 0.3837)
Ca (0.7946, 0.7946, 0.6163)
Ca (0.6188, 0.6188, 0.1435)
Sn (0.0000, 0.0000, 0.0000)
Pd (0.0963, 0.0963, 0.7110)
Pd (0.9037, 0.9037, 0.2890)

A plane-wave DFT calculation with PBE-GGA was carried out for a geometry-optimized Hg2Bi2S structure.

Fermi-level density of states (states/eV per atom): 0.5074
Relative energy among the computed polymorphs (meV per atom): 0
Magnetic moment (μB/cell): 0.00

Cell: 7.6300 7.6300 4.8878 Å, 90.00 90.00 90.00°
Sites, in units of the cell vectors:
S (0.0000, 0.0000, 0.0000)
S (0.5000, 0.5000, 0.0000)
Bi (0.3401, 0.8401, 0.0000)
Bi (0.8401, 0.6599, 0.0000)
Bi (0.6599, 0.1599, 0.0000)
Bi (0.1599, 0.3401, 0.0000)
Hg (0.1577, 0.6577, 0.5000)
Hg (0.6577, 0.8423, 0.5000)
Hg (0.8423, 0.3423, 0.5000)
Hg (0.3423, 0.1577, 0.5000)

A plane-wave DFT calculation with PBE-GGA was carried out for a geometry-optimized Pm3Sm2Er3 structure.

Fermi-level density of states (states/eV per atom): 1.7933
Relative energy among the computed polymorphs (meV per atom): 4
Formation enthalpy at 0 K (eV per formula unit): 0.18
Magnetic moment (μB/cell): 0.00

Cell: 6.3042 8.5394 14.6073 Å, 90.00 90.00 137.63°
Sites, in units of the cell vectors:
Pm (0.9157, 0.7504, 0.3760)
Pm (0.0843, 0.2496, 0.8760)
Pm (0.9157, 0.7504, 0.1240)
Pm (0.0843, 0.2496, 0.6240)
Pm (0.5840, 0.2508, 0.2500)
Pm (0.4160, 0.7492, 0.7500)
Sm (0.9196, 0.7501, 0.8756)
Sm (0.0804, 0.2499, 0.3756)
Sm (0.9196, 0.7501, 0.6244)
Sm (0.0804, 0.2499, 0.1244)
Er (0.5848, 0.2501, 0.5006)
Er (0.4152, 0.7499, 0.0006)
Er (0.5848, 0.2501, 0.9994)
Er (0.4152, 0.7499, 0.4994)
Er (0.4146, 0.7504, 0.2500)
Er (0.5854, 0.2496, 0.7500)

Number 11 is which compound? Hg2Bi2S